# 1
The following is a GGA-PBE calculation of MoSe after structural relaxation, from Alexandria.

a b c (Å): 6.951 6.951 6.951
angles (deg): 90.00 90.00 90.00
Fractional positions:
Mo: 0.000 0.250 0.500
Mo: 0.000 0.750 0.500
Mo: 0.250 0.500 0.000
Mo: 0.500 0.000 0.250
Mo: 0.500 0.000 0.750
Mo: 0.750 0.500 0.000
Se: 0.000 0.500 0.250
Se: 0.000 0.500 0.750
Se: 0.250 0.000 0.500
Se: 0.500 0.250 0.000
Se: 0.500 0.750 0.000
Se: 0.750 0.000 0.500

- E_form (uncorrected) (eV/f.u.) = 1.2
- N(E_F) (states/eV/f.u.) = 1.701
- ΔE to the lowest computed polymorph (meV/atom) = 879.6
- magnetization (μB/f.u.) = 0.79

---

# 2
The following is a GGA-PBE calculation of HoMgTi after structural relaxation, from Alexandria.

a b c (Å): 3.512 3.512 11.704
angles (deg): 90.00 90.00 90.00
Fractional positions:
Ho: 0.250 0.250 0.217
Ho: 0.750 0.750 0.783
Mg: 0.250 0.250 0.581
Mg: 0.750 0.750 0.419
Ti: 0.250 0.250 0.952
Ti: 0.750 0.750 0.048

- N(E_F) (states/eV/f.u.) = 4.383
- ΔE to the lowest computed polymorph (meV/atom) = 0.0
- ΔE_f (eV per formula unit) = 0.07
- magnetization (μB/f.u.) = 0.06

---

# 3
The following is a GGA-PBE calculation of Pr2PuSc after structural relaxation, from Alexandria.

a b c (Å): 7.922 7.922 7.922
angles (deg): 90.00 90.00 90.00
Fractional positions:
Pr: 0.250 0.250 0.250
Pr: 0.250 0.250 0.750
Pr: 0.250 0.750 0.250
Pr: 0.250 0.750 0.750
Pr: 0.750 0.250 0.250
Pr: 0.750 0.250 0.750
Pr: 0.750 0.750 0.250
Pr: 0.750 0.750 0.750
Pu: 0.000 0.000 0.000
Pu: 0.000 0.500 0.500
Pu: 0.500 0.000 0.500
Pu: 0.500 0.500 0.000
Sc: 0.000 0.000 0.500
Sc: 0.000 0.500 0.000
Sc: 0.500 0.000 0.000
Sc: 0.500 0.500 0.500

- N(E_F) (states/eV/f.u.) = 14.393
- ΔE to the lowest computed polymorph (meV/atom) = 87.9
- ΔE_f (eV per formula unit) = 0.89
- magnetization (μB/f.u.) = 7.45

---

# 4
The following is a GGA-PBE calculation of PuMnIrRu after structural relaxation, from Alexandria.

a b c (Å): 6.474 6.474 6.474
angles (deg): 90.00 90.00 90.00
Fractional positions:
Pu: 0.000 0.000 0.000
Pu: 0.000 0.500 0.500
Pu: 0.500 0.000 0.500
Pu: 0.500 0.500 0.000
Mn: 0.000 0.000 0.500
Mn: 0.000 0.500 0.000
Mn: 0.500 0.000 0.000
Mn: 0.500 0.500 0.500
Ir: 0.250 0.250 0.250
Ir: 0.250 0.750 0.750
Ir: 0.750 0.250 0.750
Ir: 0.750 0.750 0.250
Ru: 0.250 0.250 0.750
Ru: 0.250 0.750 0.250
Ru: 0.750 0.250 0.250
Ru: 0.750 0.750 0.750

- N(E_F) (states/eV/f.u.) = 3.736
- ΔE_f (eV per formula unit) = -0.50
- magnetization (μB/f.u.) = 8.48

---

- What is the magnetization in the second record?
  0.06 μB/f.u.

---

- Which of these has the lowest magnetization?
  HoMgTi

---

- Among the records above, which one has the lowest N(E_F)?
  MoSe

---

- What is the magnetization in the first record?
  0.79 μB/f.u.